No. 1
Here is an optimized crystal structure of LaCu2Te from the Alexandria database. Energies are from PBE.

Geometry as POSCAR:
```
LaCu2Te
1.0
-3.558 0.963 0.832
-1.204 -3.344 -1.283
0.677 -2.435 5.714
La Cu Te
1 2 1
Direct
0.500 0.500 0.250
0.000 0.000 0.535
0.000 0.000 0.965
0.500 0.500 0.750
```

Results
- E_form (uncorrected) (eV/atom) = -0.174
- V (Å³ per atom) = 22.30
- total magnetic moment (μB/atom) = 0.0000
- VASP energy (eV per atom) = -4.239
- space-group type = P4/mmm, No. 123

***

No. 2
Here is an optimized crystal structure of La2ThCuTe5 from the Alexandria database. Energies are from PBE.

Geometry as POSCAR:
```
La2ThCuTe5
1.0
4.329 0.000 0.000
-2.165 9.504 0.000
0.000 0.000 13.598
La Th Te Cu
4 2 10 2
Direct
0.118 0.237 0.696
0.111 0.223 0.346
0.889 0.777 0.846
0.882 0.763 0.196
0.177 0.354 0.023
0.823 0.646 0.523
0.305 0.610 0.692
0.690 0.380 0.854
0.503 0.005 0.253
0.983 0.966 0.517
0.695 0.390 0.192
0.344 0.689 0.019
0.310 0.620 0.354
0.656 0.311 0.519
0.497 0.995 0.753
0.017 0.034 0.017
0.440 0.880 0.424
0.560 0.120 0.924
```

Results
- E_form (uncorrected) (eV/atom) = -1.239
- V (Å³ per atom) = 31.08
- total magnetic moment (μB/atom) = 0.0003
- VASP energy (eV per atom) = -5.358
- space-group type = Cmc2_1, No. 36

***

No. 3
Here is an optimized crystal structure of La2UCuTe5 from the Alexandria database. Energies are from PBE.

Geometry as POSCAR:
```
La2UCuTe5
1.0
-1.394 2.802 3.047
-0.017 -8.604 4.776
12.476 2.082 3.794
Te La U Cu
10 4 2 2
Direct
0.958 0.917 0.558
0.357 0.714 0.002
0.710 0.420 0.175
0.500 0.000 0.782
0.042 0.083 0.058
0.290 0.580 0.675
0.311 0.623 0.345
0.500 0.000 0.282
0.643 0.286 0.502
0.689 0.377 0.845
0.123 0.246 0.310
0.111 0.223 0.687
0.877 0.754 0.810
0.889 0.777 0.187
0.807 0.615 0.511
0.193 0.385 0.011
0.429 0.858 0.454
0.571 0.142 0.954
```

Results
- E_form (uncorrected) (eV/atom) = -1.061
- V (Å³ per atom) = 30.75
- total magnetic moment (μB/atom) = 0.3147
- VASP energy (eV per atom) = -5.611
- space-group type = Cmc2_1, No. 36

***

No. 4
Here is an optimized crystal structure of La2Th2Cu from the Alexandria database. Energies are from PBE.

Geometry as POSCAR:
```
La2Th2Cu
1.0
-0.768 3.078 1.765
-3.058 0.341 -1.927
-3.649 -7.565 7.872
Cu Th La
1 2 2
Direct
0.000 0.000 0.000
0.803 0.803 0.606
0.197 0.197 0.394
0.582 0.582 0.164
0.418 0.418 0.836
```

Results
- V (Å³ per atom) = 29.58
- total magnetic moment (μB/atom) = 0.0000
- VASP energy (eV per atom) = -5.799
- space-group type = I4/mmm, No. 139

***

No. 5
Here is an optimized crystal structure of La2ThCu6 from the Alexandria database. Energies are from PBE.

Geometry as POSCAR:
```
La2ThCu6
1.0
-0.259 2.682 -2.613
3.998 -4.244 -4.753
-7.499 -0.572 0.156
Th La Cu
1 2 6
Direct
0.000 0.000 0.000
0.000 0.667 0.333
0.000 0.333 0.667
0.500 0.669 0.669
0.500 0.331 0.331
0.500 0.000 0.669
0.500 0.000 0.331
0.500 0.331 0.000
0.500 0.669 0.000
```

Results
- V (Å³ per atom) = 20.44
- total magnetic moment (μB/atom) = 0.0000
- VASP energy (eV per atom) = -4.853
- space-group type = P6/mmm, No. 191

***

No. 6
Here is an optimized crystal structure of LaThCu3 from the Alexandria database. Energies are from PBE.

Geometry as POSCAR:
```
LaThCu3
1.0
-3.543 -0.126 1.283
0.254 -4.292 0.279
6.273 1.144 11.899
Cu La Th
6 2 2
Direct
0.329 0.750 0.658
0.671 0.250 0.342
0.619 0.750 0.237
0.524 0.750 0.048
0.476 0.250 0.952
0.381 0.250 0.763
0.929 0.750 0.858
0.071 0.250 0.142
0.794 0.250 0.588
0.206 0.750 0.412
```

Results
- V (Å³ per atom) = 21.72
- total magnetic moment (μB/atom) = 0.0000
- VASP energy (eV per atom) = -5.112
- space-group type = Cmcm, No. 63

***

No. 7
Here is an optimized crystal structure of La2ThCu from the Alexandria database. Energies are from PBE.

Geometry as POSCAR:
```
La2ThCu
1.0
3.705 0.000 0.000
1.853 3.209 0.000
1.853 1.070 10.206
Cu La Th
1 2 1
Direct
0.667 0.667 0.999
0.070 0.070 0.791
0.264 0.264 0.209
0.500 0.500 0.500
```

Results
- V (Å³ per atom) = 30.33
- total magnetic moment (μB/atom) = 0.0000
- VASP energy (eV per atom) = -5.248
- space-group type = R3m, No. 160

***

No. 8
Here is an optimized crystal structure of LaThCu4 from the Alexandria database. Energies are from PBE.

Geometry as POSCAR:
```
LaThCu4
1.0
-2.407 -2.467 1.955
1.970 -3.100 -1.485
5.084 2.922 5.931
La Cu Th
1 4 1
Direct
0.250 0.750 0.500
0.579 0.579 0.157
0.831 0.331 0.663
0.669 0.169 0.337
0.421 0.421 0.843
0.000 0.000 0.000
```

Results
- V (Å³ per atom) = 20.56
- total magnetic moment (μB/atom) = 0.0000
- VASP energy (eV per atom) = -4.954
- space-group type = I-4m2, No. 119